Below is a PBEsol-optimized structure of Mn2ReRh2, with properties calculated at the SCAN level.

a b c (Å): 3.6135 3.6135 10.1818
angles (deg): 90.00 90.00 90.00
With the nearest neighbours (Å) after each atom.
Space group I4/mmm (No. 139)
Symmetry-distinct sites (fractional):
Mn (0.0000, 0.0000, 0.0948) x4  1 Mn 1.93
Re (0.0000, 0.0000, 0.5000) x2  8 Mn 2.73
Rh (0.0000, 0.5000, 0.2500) x4  4 Mn 2.40, 4 Rh 2.56

- V: 13.3 A^3/atom
- DFT formation energy: 0.521 eV per atom

Below is a PBEsol-optimized structure of MnReRh3, with properties calculated at the SCAN level.

a b c (Å): 4.6190 4.6190 4.6190
angles (deg): 90.00 90.00 90.00
With the nearest neighbours (Å) after each atom.
Space group Pm-3m (No. 221)
Symmetry-distinct sites (fractional):
Mn (0.0000, 0.0000, 0.0000) x1  12 Rh 3.27
Re (0.5000, 0.5000, 0.5000) x1  6 Rh 2.31
Rh (0.0000, 0.5000, 0.5000) x3  2 Re 2.31

- V: 19.7 A^3/atom
- DFT formation energy: 1.061 eV per atom

Below is a PBEsol-optimized structure of Mn2ReRh, with properties calculated at the SCAN level.

a b c (Å): 3.7112 3.7112 3.5782
angles (deg): 90.00 90.00 90.00
With the nearest neighbours (Å) after each atom.
Space group P4/mmm (No. 123)
Symmetry-distinct sites (fractional):
Mn (0.0000, 0.5000, 0.0000) x2  4 Re 2.58, 4 Rh 2.58, 4 Mn 2.62
Re (0.0000, 0.0000, 0.5000) x1  8 Mn 2.58, 4 Rh 2.62
Rh (0.5000, 0.5000, 0.5000) x1  8 Mn 2.58, 4 Re 2.62

- V: 12.3 A^3/atom
- DFT formation energy: -0.052 eV per atom

Below is a PBEsol-optimized structure of Mn2ReRh, with properties calculated at the SCAN level.

a b c (Å): 2.6232 2.6232 7.2489
angles (deg): 90.00 90.00 90.00
With the nearest neighbours (Å) after each atom.
Space group P4mm (No. 99)
Symmetry-distinct sites (fractional):
Mn (0.0000, 0.0000, 0.0000) x1  8 Mn 2.45-2.62, 4 Rh 2.62
Mn (0.5000, 0.5000, 0.2205) x1  8 Mn 2.45-2.62, 4 Re 2.62
Re (0.0000, 0.0000, 0.4765) x1  4 Re 2.62, 4 Mn 2.62, 4 Rh 2.69
Rh (0.5000, 0.5000, 0.7449) x1  4 Mn 2.62, 4 Rh 2.62, 4 Re 2.69

- V: 12.5 A^3/atom
- DFT formation energy: -0.122 eV per atom

Below is a PBEsol-optimized structure of Mn2ReRh, with properties calculated at the SCAN level.

a b c (Å): 3.9544 2.6188 9.4573
angles (deg): 90.00 90.00 90.00
With the nearest neighbours (Å) after each atom.
Space group Amm2 (No. 38)
Symmetry-distinct sites (fractional):
Mn (0.0000, 0.0000, 0.0000) x2  2 Mn 2.25
Mn (0.5000, 0.0000, 0.1132) x2  2 Mn 2.25
Re (0.0000, 0.0000, 0.7308) x2  7 Mn 2.55-2.62, 2 Re 2.62, 4 Rh 2.77
Rh (0.5000, 0.0000, 0.3830) x2  7 Mn 2.54-2.62, 2 Rh 2.62, 4 Re 2.77

- V: 12.2 A^3/atom
- DFT formation energy: 0.068 eV per atom

Below is a PBEsol-optimized structure of MnReRu2, with properties calculated at the SCAN level.

a b c (Å): 5.3046 7.4541 2.6688
angles (deg): 90.00 90.00 90.00
With the nearest neighbours (Å) after each atom.
Space group Cmmm (No. 65)
Symmetry-distinct sites (fractional):
Mn (0.0000, 0.0000, 0.0000) x2  8 Ru 2.65, 2 Re 2.65, 2 Mn 2.67
Re (0.0000, 0.5000, 0.0000) x2  8 Ru 2.65, 2 Mn 2.65, 2 Re 2.67
Ru (0.2500, 0.2500, 0.5000) x4  4 Mn 2.65, 4 Re 2.65, 4 Ru 2.65-2.67

- Energy above the lowest structure with this stoichiometry: 0.000 eV/atom
- V: 13.2 A^3/atom
- DFT formation energy: -0.009 eV per atom